{
  "formula": "ScMnPt2",
  "functional": "PBE",
  "state": "optimized geometry",
  "cell": [[2.964, 0.000, 0.000], [-1.482, 2.567, 0.000], [0.000, 0.000, 26.167]],
  "species": ["Sc", "Sc", "Sc", "Mn", "Mn", "Mn", "Pt", "Pt", "Pt", "Pt", "Pt", "Pt"],
  "frac_coords": [[0.000, 0.000, 0.000], [0.333, 0.667, 0.667], [0.667, 0.333, 0.333], [0.000, 0.000, 0.500], [0.333, 0.667, 0.167], [0.667, 0.333, 0.833], [0.000, 0.000, 0.249], [0.000, 0.000, 0.751], [0.333, 0.667, 0.418], [0.333, 0.667, 0.915], [0.667, 0.333, 0.085], [0.667, 0.333, 0.582]],
  "formation_energy_ev_per_atom": -0.40,
  "spacegroup": "No. 166"
}